[1]
The following is a DFT calculation (GGA-PBE) of a relaxed TaPd2Pt crystal.

abc: 7.2034 7.2034 5.3784
angles: 90.00 90.00 90.00
Closest atoms and distances in Å follow each position.
Space group I-42d (No. 122)
Symmetry-distinct sites (fractional):
1 Ta 0.0000 0.0000 0.0000 (multiplicity 4)  4 Pd 2.56, 2 Pt 2.69
2 Pd 0.2344 0.2500 0.1250 (multiplicity 8)  2 Ta 2.56, 2 Pd 2.70, 2 Pt 2.71
3 Pt 0.0000 0.0000 0.5000 (multiplicity 4)  2 Ta 2.69, 4 Pd 2.71

Properties
Electronic total energy ... -7.04 eV per atom
M_tot ... 0.00 μB/cell
E_form ... 0.03 eV/atom
ρ ... 14.0 Mg/m³

[2]
The following is a DFT calculation (GGA-PBE) of a relaxed TaPdPt3 crystal.

abc: 4.7332 4.7332 4.7332
angles: 90.00 90.00 90.00
Closest atoms and distances in Å follow each position.
Space group Pm-3m (No. 221)
Symmetry-distinct sites (fractional):
1 Ta 0.0000 0.0000 0.0000 (multiplicity 1)  12 Pt 3.35
2 Pd 0.5000 0.5000 0.5000 (multiplicity 1)  6 Pt 2.37
3 Pt 0.0000 0.5000 0.5000 (multiplicity 3)  2 Pd 2.37

Properties
Electronic total energy ... -5.51 eV per atom
M_tot ... 0.00 μB/cell
E_form ... 1.53 eV/atom
ρ ... 13.7 Mg/m³
Energy above the most stable polymorph in this dataset ... 10.434 eV per formula unit

[3]
The following is a DFT calculation (GGA-PBE) of a relaxed Ta3Pd7Pt2 crystal.

abc: 2.8414 4.3598 16.9728
angles: 90.00 94.81 90.00
Closest atoms and distances in Å follow each position.
Space group P2/m (No. 10)
Symmetry-distinct sites (fractional):
1 Ta 0.0000 0.0000 0.0000 (multiplicity 1)  8 Pd 2.60-2.63, 2 Ta 2.84
2 Ta 0.3316 0.5000 0.6635 (multiplicity 2)  4 Pt 2.78, 2 Ta 2.84, 6 Pd 2.97-3.07
3 Pd 0.0912 0.5000 0.1822 (multiplicity 2)  2 Pt 2.72, 6 Pd 2.74-2.84, 2 Ta 2.97
4 Pd 0.2163 0.0000 0.4328 (multiplicity 2)  1 Pt 2.61, 4 Pd 2.68-2.84
5 Pd 0.4346 0.0000 0.8693 (multiplicity 2)  2 Ta 2.63, 6 Pd 2.74-2.84, 2 Pt 2.87
6 Pd 0.5000 0.5000 0.0000 (multiplicity 1)  4 Ta 2.60, 2 Pd 2.84
7 Pt 0.1394 0.0000 0.2782 (multiplicity 2)  5 Pd 2.61-2.87, 4 Ta 2.78, 2 Pt 2.84

Properties
Electronic total energy ... -7.07 eV per atom
M_tot ... 0.00 μB/cell
E_form ... -0.07 eV/atom
ρ ... 13.3 Mg/m³

[4]
The following is a DFT calculation (GGA-PBE) of a relaxed Ta2Pd4Pt crystal.

abc: 9.0805 3.8278 6.4256
angles: 90.00 96.16 90.00
Closest atoms and distances in Å follow each position.
Space group C2/m (No. 12)
Symmetry-distinct sites (fractional):
1 Ta 0.0772 0.0000 0.2274 (multiplicity 4)  2 Pt 2.74, 9 Pd 2.76-2.89
2 Pd 0.1371 0.5000 0.9304 (multiplicity 4)  6 Pd 2.73-2.92, 5 Ta 2.80-2.89, 1 Pt 2.91
3 Pd 0.2143 0.0000 0.6431 (multiplicity 4)  4 Ta 2.76-2.86, 5 Pd 2.78-2.92, 3 Pt 2.81-2.84
4 Pt 0.0000 0.5000 0.5000 (multiplicity 2)  4 Ta 2.74, 8 Pd 2.81-2.91

Properties
Electronic total energy ... -7.72 eV per atom
M_tot ... 0.00 μB/cell
E_form ... -0.50 eV/atom
ρ ... 14.7 Mg/m³

[5]
The following is a DFT calculation (GGA-PBE) of a relaxed TaTiPdPt crystal.

abc: 3.2969 3.2969 6.0245
angles: 90.00 90.00 90.00
Closest atoms and distances in Å follow each position.
Space group P4mm (No. 99)
Symmetry-distinct sites (fractional):
1 Ta 0.0000 0.0000 0.0000 (multiplicity 1)  4 Pd 2.70, 4 Ti 2.91, 1 Pt 2.98
2 Ti 0.5000 0.5000 0.7103 (multiplicity 1)  4 Pt 2.64, 4 Ta 2.91, 1 Pd 2.92
3 Pd 0.5000 0.5000 0.2250 (multiplicity 1)  4 Ta 2.70, 4 Pt 2.88, 1 Ti 2.92
4 Pt 0.0000 0.0000 0.5047 (multiplicity 1)  4 Ti 2.64, 4 Pd 2.88

Properties
Electronic total energy ... -8.32 eV per atom
M_tot ... 0.00 μB/cell
E_form ... -0.58 eV/atom
ρ ... 13.4 Mg/m³

[6]
The following is a DFT calculation (GGA-PBE) of a relaxed TaPd2PtW crystal.

abc: 4.8224 4.8224 4.7048
angles: 90.00 90.00 90.00
Closest atoms and distances in Å follow each position.
Space group P4/mmm (No. 123)
Symmetry-distinct sites (fractional):
1 Ta 0.0000 0.0000 0.0000 (multiplicity 1)  2 Pt 2.35
2 Pd 0.0000 0.5000 0.5000 (multiplicity 2)  2 Pt 2.41
3 Pt 0.0000 0.0000 0.5000 (multiplicity 1)  2 Ta 2.35, 4 Pd 2.41
4 W 0.5000 0.5000 0.0000 (multiplicity 1)  8 Pd 3.37, 4 Ta 3.41

Properties
Electronic total energy ... -6.59 eV per atom
M_tot ... 2.05 μB/cell
E_form ... 1.66 eV/atom
ρ ... 11.7 Mg/m³